# 1
First-principles (PBE) data for a geometry-optimized Zr2PbAu structure, as listed in Alexandria via LeMat-Bulk.

## Properties
Total DFT energy (no corrections) in eV per atom: -6.328
Symmetry: No. 123

POSCAR file:
```
Zr2PbAu
1.0
4.462 0.000 0.000
0.000 4.462 0.000
0.000 0.000 4.345
Zr Pb Au
2 1 1
Direct
0.000 0.500 0.000
0.500 0.000 0.000
0.000 0.000 0.500
0.500 0.500 0.500
```

---

# 2
First-principles (PBE) data for a geometry-optimized Zr2PbAu structure, as listed in Alexandria via LeMat-Bulk.

## Properties
Total DFT energy (no corrections) in eV per atom: -6.144
Symmetry: No. 166

POSCAR file:
```
Zr2PbAu
1.0
3.290 0.000 0.000
-1.645 2.850 0.000
0.000 0.000 29.246
Zr Pb Au
6 3 3
Direct
0.000 0.000 0.244
0.000 0.000 0.756
0.333 0.667 0.423
0.333 0.667 0.911
0.667 0.333 0.089
0.667 0.333 0.577
0.000 0.000 0.000
0.333 0.667 0.667
0.667 0.333 0.333
0.000 0.000 0.500
0.333 0.667 0.167
0.667 0.333 0.833
```

---

# 3
First-principles (PBE) data for a geometry-optimized Zr2PbAu structure, as listed in Alexandria via LeMat-Bulk.

## Properties
Total DFT energy (no corrections) in eV per atom: -6.097
Symmetry: No. 122

POSCAR file:
```
Zr2PbAu
1.0
7.856 0.000 0.000
0.000 7.856 0.000
0.000 0.000 6.154
Zr Pb Au
8 4 4
Direct
0.229 0.250 0.125
0.250 0.729 0.375
0.250 0.771 0.875
0.271 0.250 0.625
0.729 0.750 0.625
0.750 0.229 0.875
0.750 0.271 0.375
0.771 0.750 0.125
0.000 0.000 0.500
0.000 0.500 0.750
0.500 0.000 0.250
0.500 0.500 0.000
0.000 0.000 0.000
0.000 0.500 0.250
0.500 0.000 0.750
0.500 0.500 0.500
```

---

Number 1: magnetization 0.00 Bohr magnetons per cell. Number 2: magnetization 0.00 Bohr magnetons per cell. Number 3: magnetization 0.00 Bohr magnetons per cell.